No. 1
18
Lattice="-3.423 3.423 6.101 3.423 -3.423 6.101 3.423 3.423 -6.101" Properties=species:S:1:pos:R:3 comment="Sr3RhO5, optimized geometry, DFT PBE" raw_formation_energy_ev_per_atom=-1.939 pbc="T T T"
Sr 4.628 1.204 0.000
Sr 0.000 0.000 3.050
Sr 1.204 2.219 0.000
Sr 2.219 1.204 6.101
Sr 0.000 0.000 9.151
Sr -1.204 2.219 6.101
Rh 3.423 0.000 3.050
Rh 0.000 3.423 3.050
O 0.000 0.000 0.000
O 2.471 0.953 -1.687
O 2.471 -0.953 4.414
O 2.471 0.953 1.687
O 2.471 -0.953 7.788
O 0.000 0.000 6.101
O 0.953 4.376 -1.687
O 0.953 2.471 4.414
O 0.953 4.376 1.687
O 0.953 2.471 7.788



No. 2
9
Lattice="9.674 0.000 0.000 -4.837 8.378 0.000 0.000 0.000 3.515" Properties=species:S:1:pos:R:3 comment="Tb7Ho2, optimized geometry, DFT PBE" polymorph_energy_kj_per_mol_atoms=2.13 formation_enthalpy_0k_kj_per_mol_fu=35 pbc="T T T"
Tb 0.000 0.000 0.000
Tb -1.753 3.037 0.000
Tb -3.368 5.834 1.757
Tb 1.469 2.544 1.757
Tb 3.506 0.000 0.000
Tb 3.084 5.342 0.000
Tb 6.737 0.000 1.757
Ho 0.000 5.586 1.757
Ho 4.837 2.793 1.757



No. 3
12
Lattice="4.913 -7.232 0.000 4.913 7.232 0.000 -2.364 0.000 6.443" Properties=species:S:1:pos:R:3 comment="Sr4LiIr, optimized geometry, DFT PBE" polymorph_energy_kj_per_mol_atoms=0.00 formation_enthalpy_0k_kj_per_mol_fu=-59 pbc="T T T"
Sr 1.665 4.864 6.096
Sr 1.162 1.066 4.055
Sr 4.614 4.864 3.568
Sr 2.344 -1.066 0.834
Sr 5.117 1.066 5.609
Sr 2.847 -4.864 2.874
Sr 6.299 -1.066 2.388
Sr 5.796 -4.864 0.347
Li 4.322 1.845 1.611
Li 3.140 -1.845 4.832
Ir 4.322 -7.229 1.611
Ir 3.140 7.229 4.832



no.,calculated density (g cm⁻³),VASP energy (eV/atom)
1,5.18,-6.07
2,8.41,-4.58
3,3.99,-3.02